Below is a geometry-optimized Ba4PrMo3O12 structure, with properties calculated at the GGA+U level.

Lattice parameters (Å, degrees): 7.371 7.371 7.371 109.47 109.47 109.47
Site moments in Bohr magnetons follow the coordinates.
Fractional coordinates of all 20 atoms:
1 Ba 0.500 0.500 0.500  0.01
2 Ba 0.000 0.000 0.500  0.01
3 Ba 0.500 0.000 0.000  0.01
4 Ba 0.000 0.500 0.000  0.01
5 Pr 0.000 0.000 0.000  0.06
6 Mo 0.500 0.000 0.500  1.63
7 Mo 0.500 0.500 0.000  1.63
8 Mo 0.000 0.500 0.500  1.63
9 O 0.250 0.500 0.750  0.00
10 O 0.730 0.000 0.730  -0.04
11 O 0.270 0.000 0.270  -0.04
12 O 0.750 0.500 0.250  0.00
13 O 0.730 0.730 0.000  -0.04
14 O 0.270 0.270 0.000  -0.04
15 O 0.750 0.250 0.500  0.00
16 O 0.250 0.750 0.500  0.00
17 O 0.500 0.250 0.750  0.00
18 O 0.000 0.730 0.730  -0.04
19 O 0.500 0.750 0.250  0.00
20 O 0.000 0.270 0.270  -0.04

Results
E = -140.331 eV per cell
Total moment = 5.000 μB per cell